Record 1
## KY2Sb (PBE)

Data for a relaxed structure of KY2Sb.

Values from the calculation:
space group	Cmmm, No. 65

Cell lengths 6.385, 6.385, 3.435 Å; angles 90.00, 90.00, 113.69 degrees
Positions (direct):
K 0.500 0.000 0.500
Sb 0.000 0.500 0.500
Y 0.000 0.000 0.000
Y 0.500 0.500 0.000

Record 2
## K2YSb (PBE)

Data for a relaxed structure of K2YSb.

Values from the calculation:
space group	Cmmm, No. 65

Cell lengths 7.048, 7.048, 3.684 Å; angles 90.00, 90.00, 125.34 degrees
Site moments in Bohr magnetons follow the coordinates.
Positions (direct):
K 0.000 0.000 0.000  0.04
K 0.500 0.500 0.000  0.04
Sb 0.500 0.000 0.500  0.01
Y 0.000 0.500 0.500  0.46

Record 3
## K2YSb2 (PBE)

Data for a relaxed structure of K2YSb2.

Values from the calculation:
space group	P4/mbm, No. 127

Cell lengths 7.975, 7.975, 5.814 Å; angles 90.00, 90.00, 90.00 degrees
Site moments in Bohr magnetons follow the coordinates.
Positions (direct):
Y 0.000 0.000 0.000  0.19
Y 0.500 0.500 0.000  0.18
Sb 0.369 0.869 0.000  0.00
Sb 0.869 0.631 0.000  0.00
Sb 0.631 0.131 0.000  0.00
Sb 0.131 0.369 0.000  0.00
K 0.167 0.667 0.500  0.01
K 0.667 0.833 0.500  0.01
K 0.833 0.333 0.500  0.01
K 0.333 0.167 0.500  0.01

These records have total DFT energy (no corrections) values of -4.433, -3.126, -3.833 eV per atom, in the order they appear.
These records have spin magnetization values of 0.0, 1.6, 1.3 μB/cell, in the order they appear.